# 1
Below is a relaxed CaNdGe2 crystal, with properties calculated at the GGA-PBE level.

a b c (Å): 4.5122 4.0292 5.9531
angles (deg): 90.00 112.25 90.00
Element x y z (fractional)
Nd 0.7212 0.0000 0.9818
Ge 0.0042 0.0000 0.5469
Ca 0.4446 0.5000 0.4277
Ge 0.1610 0.5000 0.8616

**Uncorrected energy**: -4.743 eV/atom
**Calculated formation energy**: -0.74 eV per atom
**Mass density**: 5.5 g/cm³
**SG**: No. 38
**Magnetic moment**: 0.00 Bohr magnetons per cell

***

# 2
Below is a relaxed CaCdPb crystal, with properties calculated at the GGA-PBE level.

a b c (Å): 7.8089 7.8089 4.8472
angles (deg): 90.00 90.00 120.00
Element x y z (fractional)
Cd 0.7532 0.7532 0.0000
Pb 0.0000 0.0000 0.5000
Cd 0.2468 0.0000 0.0000
Ca 0.4298 0.4298 0.5000
Cd 0.0000 0.2468 0.0000
Ca 0.5702 0.0000 0.5000
Ca 0.0000 0.5702 0.5000
Pb 0.6667 0.3333 0.0000
Pb 0.3333 0.6667 0.0000

**Uncorrected energy**: -2.599 eV/atom
**Calculated formation energy**: -0.39 eV per atom
**Mass density**: 7.0 g/cm³
**SG**: No. 189
**Magnetic moment**: 0.00 Bohr magnetons per cell